(1)
The following is a DFT calculation (SCAN) of a crystal of ScTc2 relaxed with PBEsol. Values from VASP.

## Properties
Space-group type = Fd-3m, No. 227
Formation enthalpy at 0 K = -0.357 eV per atom
Energy above the most stable polymorph in this dataset = 38 meV/atom

```
&SYSTEM
  ibrav = 0, nat = 6, ntyp = 2
/
ATOMIC_SPECIES
Sc 44.96 Sc.upf
Tc 98.00 Tc.upf
CELL_PARAMETERS angstrom
0.0000 3.6632 3.6632
3.6632 0.0000 3.6632
3.6632 3.6632 0.0000
ATOMIC_POSITIONS crystal
Sc 0.1250 0.1250 0.1250
Sc 0.8750 0.8750 0.8750
Tc 0.0000 0.5000 0.5000
Tc 0.5000 0.0000 0.5000
Tc 0.5000 0.5000 0.0000
Tc 0.5000 0.5000 0.5000
```

=====

(2)
The following is a DFT calculation (SCAN) of a crystal of CrIr4Pt relaxed with PBEsol. Values from VASP.

## Properties
Space-group type = F-43m, No. 216
Formation enthalpy at 0 K = 0.425 eV per atom

```
&SYSTEM
  ibrav = 0, nat = 6, ntyp = 3
/
ATOMIC_SPECIES
Cr 52.00 Cr.upf
Ir 192.22 Ir.upf
Pt 195.08 Pt.upf
CELL_PARAMETERS angstrom
0.0000 3.5878 3.5878
3.5878 0.0000 3.5878
3.5878 3.5878 0.0000
ATOMIC_POSITIONS crystal
Cr 0.0000 0.0000 0.0000
Ir 0.3750 0.3750 0.3750
Ir 0.3750 0.3750 0.8749
Ir 0.3750 0.8749 0.3750
Ir 0.8749 0.3750 0.3750
Pt 0.7500 0.7500 0.7500
```

=====

(3)
The following is a DFT calculation (SCAN) of a crystal of Mg2OsPb relaxed with PBEsol. Values from VASP.

## Properties
Space-group type = Pmm2, No. 25
Formation enthalpy at 0 K = 0.264 eV per atom

```
&SYSTEM
  ibrav = 0, nat = 4, ntyp = 3
/
ATOMIC_SPECIES
Mg 24.30 Mg.upf
Os 190.23 Os.upf
Pb 207.20 Pb.upf
CELL_PARAMETERS angstrom
3.0180 0.0000 0.0000
0.0000 4.7647 0.0000
0.0000 0.0000 5.1964
ATOMIC_POSITIONS crystal
Mg 0.0000 0.0000 0.0000
Mg 0.0000 0.5000 0.3205
Os 0.5000 0.5000 0.8447
Pb 0.5000 0.0000 0.5279
```

=====

(4)
The following is a DFT calculation (SCAN) of a crystal of TlTc2Mo relaxed with PBEsol. Values from VASP.

## Properties
Space-group type = P4/mmm, No. 123
Formation enthalpy at 0 K = 0.388 eV per atom
Energy above the most stable polymorph in this dataset = 0 meV/atom

```
&SYSTEM
  ibrav = 0, nat = 4, ntyp = 3
/
ATOMIC_SPECIES
Tl 204.38 Tl.upf
Tc 98.00 Tc.upf
Mo 95.94 Mo.upf
CELL_PARAMETERS angstrom
3.0885 0.0000 0.0000
0.0000 3.0885 0.0000
0.0000 0.0000 6.7884
ATOMIC_POSITIONS crystal
Tl 0.0000 0.0000 0.0000
Tc 0.5000 0.5000 0.2818
Tc 0.5000 0.5000 0.7182
Mo 0.0000 0.0000 0.5000
```

=====

(5)
The following is a DFT calculation (SCAN) of a crystal of MgZrAsSe2 relaxed with PBEsol. Values from VASP.

## Properties
Space-group type = P4/mmm, No. 123
ΔE_f (raw) = 0.079 eV/atom

```
&SYSTEM
  ibrav = 0, nat = 5, ntyp = 4
/
ATOMIC_SPECIES
Mg 24.30 Mg.upf
Zr 91.22 Zr.upf
As 74.92 As.upf
Se 78.96 Se.upf
CELL_PARAMETERS angstrom
4.8206 0.0000 0.0000
0.0000 4.8206 0.0000
0.0000 0.0000 4.8485
ATOMIC_POSITIONS crystal
Mg 0.0000 0.0000 0.0000
Zr 0.5000 0.5000 0.5000
As 0.0000 0.0000 0.5000
Se 0.0000 0.5000 0.0000
Se 0.5000 0.0000 0.0000
```

=====

(6)
The following is a DFT calculation (SCAN) of a crystal of Zr2ScAl relaxed with PBEsol. Values from VASP.

## Properties
Space-group type = I4/mmm, No. 139
Formation enthalpy at 0 K = -0.252 eV per atom

```
&SYSTEM
  ibrav = 0, nat = 4, ntyp = 3
/
ATOMIC_SPECIES
Zr 91.22 Zr.upf
Sc 44.96 Sc.upf
Al 26.98 Al.upf
CELL_PARAMETERS angstrom
-2.1412 2.1412 4.4205
2.1412 -2.1412 4.4205
2.1412 2.1412 -4.4205
ATOMIC_POSITIONS crystal
Zr 0.2500 0.7500 0.5000
Zr 0.7500 0.2500 0.5000
Sc 0.0000 0.0000 0.0000
Al 0.5000 0.5000 0.0000
```

=====

(7)
The following is a DFT calculation (SCAN) of a crystal of Y2Zr relaxed with PBEsol. Values from VASP.

## Properties
Space-group type = I4/mcm, No. 140
Formation enthalpy at 0 K = 0.219 eV per atom
Energy above the most stable polymorph in this dataset = 114 meV/atom

```
&SYSTEM
  ibrav = 0, nat = 6, ntyp = 2
/
ATOMIC_SPECIES
Y 88.91 Y.upf
Zr 91.22 Zr.upf
CELL_PARAMETERS angstrom
-3.6619 3.6619 3.1276
3.6619 -3.6619 3.1276
3.6619 3.6619 -3.1276
ATOMIC_POSITIONS crystal
Y 0.1606 0.6606 0.8212
Y 0.3394 0.1606 0.5000
Y 0.6606 0.8394 0.5000
Y 0.8394 0.3394 0.1788
Zr 0.2500 0.2500 0.0000
Zr 0.7500 0.7500 0.0000
```

=====

(8)
The following is a DFT calculation (SCAN) of a crystal of KSn2Au4 relaxed with PBEsol. Values from VASP.

## Properties
Space-group type = I4/mcm, No. 140
Formation enthalpy at 0 K = -0.274 eV per atom

```
&SYSTEM
  ibrav = 0, nat = 14, ntyp = 3
/
ATOMIC_SPECIES
K 39.10 K.upf
Sn 118.71 Sn.upf
Au 196.97 Au.upf
CELL_PARAMETERS angstrom
-4.4132 4.4132 4.1071
4.4132 -4.4132 4.1071
4.4132 4.4132 -4.1071
ATOMIC_POSITIONS crystal
K 0.2500 0.2500 0.0000
K 0.7500 0.7500 0.0000
Sn 0.1440 0.6440 0.7880
Sn 0.3560 0.1440 0.5000
Sn 0.6440 0.8560 0.5000
Sn 0.8560 0.3560 0.2120
Au 0.0162 0.8162 0.5000
Au 0.1838 0.6838 0.1999
Au 0.3162 0.5162 0.5000
Au 0.4838 0.9838 0.8001
Au 0.5162 0.0162 0.1999
Au 0.6838 0.4838 0.5000
Au 0.8162 0.3162 0.8001
Au 0.9838 0.1838 0.5000
```

=====

(9)
The following is a DFT calculation (SCAN) of a crystal of Zr2InSi relaxed with PBEsol. Values from VASP.

## Properties
Space-group type = P4/mmm, No. 123
ΔE_f (raw) = -0.382 eV/atom

```
&SYSTEM
  ibrav = 0, nat = 4, ntyp = 3
/
ATOMIC_SPECIES
Zr 91.22 Zr.upf
In 114.82 In.upf
Si 28.09 Si.upf
CELL_PARAMETERS angstrom
3.5293 0.0000 0.0000
0.0000 3.5293 0.0000
0.0000 0.0000 6.2379
ATOMIC_POSITIONS crystal
Zr 0.0000 0.0000 0.2250
Zr 0.0000 0.0000 0.7750
In 0.5000 0.5000 0.5000
Si 0.5000 0.5000 0.0000
```

=====

(10)
The following is a DFT calculation (SCAN) of a crystal of LaTcAg2 relaxed with PBEsol. Values from VASP.

## Properties
Space-group type = Imm2, No. 44
Formation enthalpy at 0 K = 0.381 eV per atom
Energy above the most stable polymorph in this dataset = 81 meV/atom

```
&SYSTEM
  ibrav = 0, nat = 4, ntyp = 3
/
ATOMIC_SPECIES
La 138.91 La.upf
Tc 98.00 Tc.upf
Ag 107.87 Ag.upf
CELL_PARAMETERS angstrom
-1.9025 2.3710 4.2467
1.9025 -2.3710 4.2467
1.9025 2.3710 -4.2467
ATOMIC_POSITIONS crystal
La 0.0000 0.0000 0.0000
Tc 0.8000 0.3000 0.5000
Ag 0.2809 0.7809 0.5000
Ag 0.5503 0.5503 0.0000
```

=====

(11)
The following is a DFT calculation (SCAN) of a crystal of MgNi2Sb relaxed with PBEsol. Values from VASP.

## Properties
Space-group type = I-4m2, No. 119
ΔE_f (raw) = -0.137 eV/atom

```
&SYSTEM
  ibrav = 0, nat = 4, ntyp = 3
/
ATOMIC_SPECIES
Mg 24.30 Mg.upf
Ni 58.69 Ni.upf
Sb 121.76 Sb.upf
CELL_PARAMETERS angstrom
-1.8744 1.8744 4.0890
1.8744 -1.8744 4.0890
1.8744 1.8744 -4.0890
ATOMIC_POSITIONS crystal
Mg 0.0000 0.0000 0.0000
Ni 0.5000 0.5000 0.0000
Ni 0.7500 0.2500 0.5000
Sb 0.2500 0.7500 0.5000
```

=====

(12)
The following is a DFT calculation (SCAN) of a crystal of TiSiN2 relaxed with PBEsol. Values from VASP.

## Properties
Space-group type = R-3m, No. 166
ΔE_f (raw) = -0.959 eV/atom

```
&SYSTEM
  ibrav = 0, nat = 4, ntyp = 3
/
ATOMIC_SPECIES
Ti 47.87 Ti.upf
Si 28.09 Si.upf
N 14.01 N.upf
CELL_PARAMETERS angstrom
1.4764 0.8524 5.7422
-1.4764 0.8524 5.7422
0.0000 -1.7048 5.7422
ATOMIC_POSITIONS crystal
Ti 0.0000 0.0000 0.0000
Si 0.5000 0.5000 0.5000
N 0.3987 0.3987 0.3987
N 0.6013 0.6013 0.6013
```

=====

(13)
The following is a DFT calculation (SCAN) of a crystal of Te2WNCl relaxed with PBEsol. Values from VASP.

## Properties
Space-group type = P4/mmm, No. 123
ΔE_f (raw) = 0.301 eV/atom

```
&SYSTEM
  ibrav = 0, nat = 5, ntyp = 4
/
ATOMIC_SPECIES
Te 127.60 Te.upf
W 183.84 W.upf
N 14.01 N.upf
Cl 35.45 Cl.upf
CELL_PARAMETERS angstrom
5.3545 0.0000 0.0000
0.0000 5.3545 0.0000
0.0000 0.0000 3.7925
ATOMIC_POSITIONS crystal
Te 0.0000 0.5000 0.0000
Te 0.5000 0.0000 0.0000
W 0.0000 0.0000 0.0000
N 0.0000 0.0000 0.5000
Cl 0.5000 0.5000 0.5000
```

=====

(14)
The following is a DFT calculation (SCAN) of a crystal of ZrZn2Ag relaxed with PBEsol. Values from VASP.

## Properties
Space-group type = Amm2, No. 38
Formation enthalpy at 0 K = -0.162 eV per atom

```
&SYSTEM
  ibrav = 0, nat = 4, ntyp = 3
/
ATOMIC_SPECIES
Zr 91.22 Zr.upf
Zn 65.41 Zn.upf
Ag 107.87 Ag.upf
CELL_PARAMETERS angstrom
4.2191 0.0000 0.0000
0.0000 1.4177 5.5091
0.0000 -1.4177 5.5091
ATOMIC_POSITIONS crystal
Zr 0.0000 0.0000 0.0000
Zn 0.0000 0.7394 0.7394
Zn 0.5000 0.6162 0.6162
Ag 0.5000 0.3451 0.3451
```

=====

(15)
The following is a DFT calculation (SCAN) of a crystal of InTeF2 relaxed with PBEsol. Values from VASP.

## Properties
Space-group type = Fm-3m, No. 225
Energy above the most stable polymorph in this dataset = 231 meV/atom
ΔE_f (raw) = -0.857 eV/atom

```
&SYSTEM
  ibrav = 0, nat = 4, ntyp = 3
/
ATOMIC_SPECIES
In 114.82 In.upf
Te 127.60 Te.upf
F 19.00 F.upf
CELL_PARAMETERS angstrom
0.0000 3.2203 3.2203
3.2203 0.0000 3.2203
3.2203 3.2203 0.0000
ATOMIC_POSITIONS crystal
In 0.0000 0.0000 0.0000
Te 0.5000 0.5000 0.5000
F 0.2500 0.2500 0.2500
F 0.7500 0.7500 0.7500
```

=====

(16)
The following is a DFT calculation (SCAN) of a crystal of TlSi2SbRh relaxed with PBEsol. Values from VASP.

## Properties
Space-group type = P4/mmm, No. 123
ΔE_f (raw) = 1.888 eV/atom

```
&SYSTEM
  ibrav = 0, nat = 5, ntyp = 4
/
ATOMIC_SPECIES
Tl 204.38 Tl.upf
Si 28.09 Si.upf
Sb 121.76 Sb.upf
Rh 102.91 Rh.upf
CELL_PARAMETERS angstrom
4.8908 0.0000 0.0000
0.0000 4.8908 0.0000
0.0000 0.0000 5.5632
ATOMIC_POSITIONS crystal
Tl 0.0000 0.0000 0.0000
Si 0.0000 0.5000 0.0000
Si 0.5000 0.0000 0.0000
Sb 0.0000 0.0000 0.5000
Rh 0.5000 0.5000 0.5000
```

=====

(17)
The following is a DFT calculation (SCAN) of a crystal of Mg3Zr relaxed with PBEsol. Values from VASP.

## Properties
Space-group type = Cmmm, No. 65
Formation enthalpy at 0 K = 0.063 eV per atom

```
&SYSTEM
  ibrav = 0, nat = 4, ntyp = 2
/
ATOMIC_SPECIES
Mg 24.30 Mg.upf
Zr 91.22 Zr.upf
CELL_PARAMETERS angstrom
3.1174 -4.8203 0.0000
3.1174 4.8203 0.0000
0.0000 0.0000 2.9087
ATOMIC_POSITIONS crystal
Mg 0.0000 0.0000 0.0000
Mg 0.0000 0.5000 0.5000
Mg 0.5000 0.0000 0.5000
Zr 0.5000 0.5000 0.0000
```

=====

(18)
The following is a DFT calculation (SCAN) of a crystal of CdSe2 relaxed with PBEsol. Values from VASP.

## Properties
Space-group type = Pa-3, No. 205
ΔE_f (raw) = -0.431 eV/atom

```
&SYSTEM
  ibrav = 0, nat = 12, ntyp = 2
/
ATOMIC_SPECIES
Cd 112.41 Cd.upf
Se 78.96 Se.upf
CELL_PARAMETERS angstrom
6.6064 0.0000 0.0000
0.0000 6.6064 0.0000
0.0000 0.0000 6.6064
ATOMIC_POSITIONS crystal
Cd 0.0000 0.0000 0.0000
Cd 0.0000 0.5000 0.5000
Cd 0.5000 0.0000 0.5000
Cd 0.5000 0.5000 0.0000
Se 0.1040 0.6040 0.8960
Se 0.1040 0.8960 0.3960
Se 0.3960 0.1040 0.8960
Se 0.3960 0.3960 0.3960
Se 0.6040 0.6040 0.6040
Se 0.6040 0.8960 0.1040
Se 0.8960 0.1040 0.6040
Se 0.8960 0.3960 0.1040
```

=====

(19)
The following is a DFT calculation (SCAN) of a crystal of YAs2W relaxed with PBEsol. Values from VASP.

## Properties
Space-group type = R3m, No. 160
Formation enthalpy at 0 K = 0.213 eV per atom
Energy above the most stable polymorph in this dataset = 371 meV/atom

```
&SYSTEM
  ibrav = 0, nat = 4, ntyp = 3
/
ATOMIC_SPECIES
Y 88.91 Y.upf
As 74.92 As.upf
W 183.84 W.upf
CELL_PARAMETERS angstrom
1.6222 0.9366 8.6336
-1.6222 0.9366 8.6336
0.0000 -1.8732 8.6336
ATOMIC_POSITIONS crystal
Y 0.0000 0.0000 0.0000
As 0.5095 0.5095 0.5095
As 0.7557 0.7557 0.7557
W 0.2415 0.2415 0.2415
```

=====

(20)
The following is a DFT calculation (SCAN) of a crystal of CuSnSe2N relaxed with PBEsol. Values from VASP.

## Properties
Space-group type = P4/mmm, No. 123
Energy above the most stable polymorph in this dataset = 0 meV/atom
ΔE_f (raw) = 0.575 eV/atom

```
&SYSTEM
  ibrav = 0, nat = 5, ntyp = 4
/
ATOMIC_SPECIES
Cu 63.55 Cu.upf
Sn 118.71 Sn.upf
Se 78.96 Se.upf
N 14.01 N.upf
CELL_PARAMETERS angstrom
5.0057 0.0000 0.0000
0.0000 5.0057 0.0000
0.0000 0.0000 3.6114
ATOMIC_POSITIONS crystal
Cu 0.0000 0.0000 0.0000
Sn 0.5000 0.5000 0.5000
Se 0.0000 0.5000 0.0000
Se 0.5000 0.0000 0.0000
N 0.0000 0.0000 0.5000
```